[1]
CsZrSi2 after structural relaxation. Source: Alexandria, functional PBE-GGA.

Calculated values
**Magnetization**: 0.0000 μB/atom
**N(E_F)**: 16.22 states/eV per cell
**Formation energy (no corrections)**: 832 meV/atom

a = 7.2770 Å, b = 7.2770 Å, c = 7.2770 Å
α = 90.00°, β = 90.00°, γ = 90.00°
Space group Fm-3m (No. 225)
Asymmetric unit:
Cs1 0.0000 0.0000 0.0000
Zr1 0.0000 0.0000 0.5000
Si1 0.2500 0.2500 0.2500



[2]
Sm3Tl4Ag2 after structural relaxation. Source: Alexandria, functional PBE-GGA.

Calculated values
**Magnetization**: 0.0000 μB/atom
**N(E_F)**: 8.77 states/eV per cell
**Calculated formation energy**: -27.5 kJ/mol of atoms

a = 11.2889 Å, b = 4.9990 Å, c = 9.4380 Å
α = 90.00°, β = 117.71°, γ = 90.00°
Space group C2/m (No. 12)
Asymmetric unit:
Sm1 0.0000 0.0000 0.0000
Sm2 0.1668 0.5000 0.6583
Tl1 0.0534 0.0000 0.3796
Tl2 0.2403 0.5000 0.0843
Ag1 0.1072 0.5000 0.2779



[3]
CoHgPt2 after structural relaxation. Source: Alexandria, functional PBE-GGA.

Calculated values
**Magnetization**: 0.6365 μB/atom
**N(E_F)**: 3.39 states/eV per cell
**Calculated formation energy**: -0.2 kJ/mol of atoms

a = 2.8693 Å, b = 2.8693 Å, c = 7.7011 Å
α = 90.00°, β = 90.00°, γ = 90.00°
Space group P4/mmm (No. 123)
Asymmetric unit:
Co1 0.0000 0.0000 0.0000
Hg1 0.0000 0.0000 0.5000
Pt1 0.5000 0.5000 0.2156